1.
The following is a PBE-GGA calculation of a geometry-optimized Sc2CrPb structure, from Alexandria.

## Properties
space group	No. 166
formation energy	0.1549	eV per atom

Lattice parameters (Å, degrees): 9.5849 9.5849 9.5849 19.80 19.80 19.80
Sites, in units of the cell vectors:
Sc 0.2405 0.2405 0.2405
Sc 0.7595 0.7595 0.7595
Cr 0.5000 0.5000 0.5000
Pb 0.0000 0.0000 0.0000

=====

2.
The following is a PBE-GGA calculation of a geometry-optimized RbS6 structure, from Alexandria.

## Properties
formation energy without anion corrections	48.42	kJ per mole of atoms
space group	No. 229
relative energy among the computed polymorphs	683	meV per atom

Lattice parameters (Å, degrees): 6.1967 6.1967 6.1967 109.47 109.47 109.47
Sites, in units of the cell vectors:
Rb 0.0000 0.0000 0.0000
S 0.2500 0.5000 0.7500
S 0.2500 0.7500 0.5000
S 0.5000 0.2500 0.7500
S 0.5000 0.7500 0.2500
S 0.7500 0.2500 0.5000
S 0.7500 0.5000 0.2500

=====

3.
The following is a PBE-GGA calculation of a geometry-optimized ZnCrSe2N structure, from Alexandria.

## Properties
formation energy without anion corrections	13.62	kJ per mole of atoms
space group	No. 123
relative energy among the computed polymorphs	0	meV per atom

Lattice parameters (Å, degrees): 4.9878 4.9878 3.5172 90.00 90.00 90.00
Sites, in units of the cell vectors:
Zn 0.0000 0.0000 0.0000
Cr 0.5000 0.5000 0.5000
Se 0.0000 0.5000 0.5000
Se 0.5000 0.0000 0.5000
N 0.5000 0.5000 0.0000

=====

4.
The following is a PBE-GGA calculation of a geometry-optimized Ce4PuIn structure, from Alexandria.

## Properties
space group	No. 15
formation energy	-0.1542	eV per atom
relative energy among the computed polymorphs	0	meV per atom

Lattice parameters (Å, degrees): 8.6195 8.6195 6.9252 107.51 107.51 41.48
Sites, in units of the cell vectors:
Ce 0.0105 0.2030 0.4651
Ce 0.2030 0.0105 0.9651
Ce 0.2256 0.3877 0.8524
Ce 0.3877 0.2256 0.3524
Ce 0.6123 0.7744 0.6476
Ce 0.7744 0.6123 0.1476
Ce 0.7970 0.9895 0.0349
Ce 0.9895 0.7970 0.5349
Pu 0.0000 0.5000 0.5000
Pu 0.5000 0.0000 0.0000
In 0.3978 0.6022 0.2500
In 0.6022 0.3978 0.7500

=====

| no. | DFT total energy (eV/atom) |
| --- | --- |
| 1 | -6.344 |
| 2 | -3.174 |
| 3 | -5.097 |
| 4 | -6.955 |